VASP calculation (PBE) on a relaxed structure of CaNiH3.

Output
The final energy comes out at -3.82 eV per atom. The space group is P6_3/mmc (194).

Cell lengths 3.583, 3.583, 9.394 Å; angles 90.00, 90.00, 120.00 degrees
Element x y z (fractional)
Ca1 0.000 0.000 0.000
Ca2 0.000 0.000 0.500
Ni1 0.333 0.667 0.250
Ni2 0.667 0.333 0.750
H1 0.000 0.000 0.250
H2 0.000 0.000 0.750
H3 0.333 0.667 0.085
H4 0.333 0.667 0.415
H5 0.667 0.333 0.585
H6 0.667 0.333 0.915



VASP calculation (PBE) on a relaxed structure of CrAu2C.

Output
Its formation energy is 0.298 eV per atom. The space group is C2/m (12).

Cell lengths 2.835, 2.835, 7.233 Å; angles 101.27, 101.27, 90.05 degrees
Element x y z (fractional)
Cr1 0.000 0.000 0.000
Au1 0.328 0.328 0.661
Au2 0.672 0.672 0.339
C1 0.500 0.500 0.000